Record 1
Below is BaScTe3 after structural relaxation, with properties calculated at the PBE-GGA level.

Values from the calculation:
- total moment (μB per cell) = 0.0
- E_tot (eV per cell) = -47.8
- energy relative to the elements, uncorrected (eV/atom) = -1.25

POSCAR file:
```
BaScTe3
1.0
-1.2524 -4.4963 -3.6501
8.4165 1.1501 0.5042
-1.4271 -5.0006 6.6496
Te Ba Sc
6 2 2
direct
0.6680 0.3359 0.9431
0.1451 0.2903 0.5698
0.8549 0.7097 0.4302
0.0403 0.0807 0.1691
0.3320 0.6641 0.0569
0.9597 0.9193 0.8309
0.3645 0.7288 0.6544
0.6355 0.2712 0.3456
0.8488 0.6977 0.0937
0.1512 0.3023 0.9063
```

***

Record 2
Below is Ba2ScTe after structural relaxation, with properties calculated at the PBE-GGA level.

Values from the calculation:
- total moment (μB per cell) = 0.8
- DOS at the Fermi energy (states/eV per atom) = 1.174
- E_tot (eV per cell) = -14.6
- energy relative to the elements, uncorrected (eV/atom) = -0.31

POSCAR file:
```
Ba2ScTe
1.0
-0.2011 7.0061 -0.4256
-4.6327 3.5036 3.9459
4.8265 -5.0261 0.8658
Te Ba Sc
1 2 1
direct
0.7500 0.2500 0.5000
0.2500 0.7500 0.5000
0.0000 0.0000 0.0000
0.5000 0.5000 0.0000
```